# 1
# CuTcC3 (PBE-GGA, relaxed)
data_CuTcC3
_chemical_formula_sum 'Cu1 Tc1 C3'
_cell_length_a 4.000
_cell_length_b 4.000
_cell_length_c 4.000
_cell_angle_alpha 90.00
_cell_angle_beta 90.00
_cell_angle_gamma 90.00
_symmetry_space_group_name_H-M 'P 1'
_symmetry_Int_Tables_number 1
_symmetry_space_group_name_Hall 'P 1'
loop_
_atom_site_label
_atom_site_type_symbol
_atom_site_fract_x
_atom_site_fract_y
_atom_site_fract_z
C1 C 0.000 0.000 0.500
C2 C 0.500 0.000 0.000
C3 C 0.000 0.500 0.000
Cu1 Cu 0.500 0.500 0.500
Tc1 Tc 0.000 0.000 0.000
# **Relative energy among the computed polymorphs**: 0.000 eV/atom
# **Formation enthalpy at 0 K**: 2.04 eV/atom

=====

# 2
# Pu2BeInAu6 (PBE-GGA, relaxed)
data_Pu2BeInAu6
_chemical_formula_sum 'Pu2 Be1 In1 Au6'
_cell_length_a 6.340
_cell_length_b 7.264
_cell_length_c 6.061
_cell_angle_alpha 65.51
_cell_angle_beta 61.32
_cell_angle_gamma 85.89
_symmetry_space_group_name_H-M 'P 1'
_symmetry_Int_Tables_number 1
_symmetry_space_group_name_Hall 'P 1'
loop_
_atom_site_label
_atom_site_type_symbol
_atom_site_fract_x
_atom_site_fract_y
_atom_site_fract_z
Pu1 Pu 0.742 0.335 0.460
Pu2 Pu 0.258 0.665 0.540
Au1 Au 0.623 0.105 0.128
Au2 Au 0.194 0.215 0.538
Au3 Au 0.808 0.774 0.959
Au4 Au 0.377 0.895 0.872
Au5 Au 0.806 0.785 0.462
Au6 Au 0.192 0.226 0.041
In1 In 0.500 0.500 0.000
Be1 Be 0.000 0.000 0.000
# **Formation enthalpy at 0 K**: -0.21 eV/atom

=====

Q: The lowest formation enthalpy at 0 K belongs to which entry?
A: Pu2BeInAu6